# TcRhW2

Crystalline TcRhW2 at its relaxed geometry (PBE, the Alexandria database).

Geometry as CIF:
```
data_TcRhW2
_symmetry_space_group_name_H-M 'P 4 m m'
_symmetry_Int_Tables_number 99
_cell_length_a 2.7396
_cell_length_b 2.7396
_cell_length_c 8.1716
_cell_angle_alpha 90.00
_cell_angle_beta 90.00
_cell_angle_gamma 90.00
loop_
_symmetry_equiv_pos_as_xyz
'x,y,z'
'-y,x,z'
'-x,-y,z'
'y,-x,z'
'-x,y,z'
'y,x,z'
'x,-y,z'
'-y,-x,z'
loop_
_atom_site_label
_atom_site_fract_x
_atom_site_fract_y
_atom_site_fract_z
Tc1 0.0000 0.0000 0.0000
Rh1 0.5000 0.5000 0.7626
W1 0.0000 0.0000 0.5198
W2 0.5000 0.5000 0.2536
```

Properties
Offset from the most stable computed form (meV/atom): 82
Energy of formation (meV per atom): 89
Magnetic moment (Bohr magnetons per cell): 0.00
Total DFT energy (no corrections) (eV for the cell shown): -43.266
Crystal system: tetragonal

***

# NaNpTcN3

Crystalline NaNpTcN3 at its relaxed geometry (PBE, the Alexandria database).

Geometry as CIF:
```
data_NaNpTcN3
_symmetry_space_group_name_H-M 'P 1 21/m 1'
_symmetry_Int_Tables_number 11
_cell_length_a 6.9350
_cell_length_b 3.3927
_cell_length_c 9.0214
_cell_angle_alpha 90.00
_cell_angle_beta 104.99
_cell_angle_gamma 90.00
loop_
_symmetry_equiv_pos_as_xyz
'x,y,z'
'-x,-y,-z'
'-x,y+1/2,-z'
'x,-y+1/2,z'
loop_
_atom_site_label
_atom_site_fract_x
_atom_site_fract_y
_atom_site_fract_z
Na1 0.1760 0.2500 0.1467
Np1 0.3333 0.7500 0.8515
Tc1 0.0190 0.2500 0.6110
N1 0.1208 0.2500 0.8432
N2 0.1778 0.7500 0.5984
N3 0.4548 0.7500 0.1070
```

Properties
Energy relative to the elements, uncorrected (kJ per mole of atoms): -43.8
Magnetic moment (Bohr magnetons per cell): 3.08
Total DFT energy (no corrections) (eV for the cell shown): -104.649
Crystal system: monoclinic

***

# UMn2PC

Crystalline UMn2PC at its relaxed geometry (PBE, the Alexandria database).

Geometry as CIF:
```
data_UMn2PC
_symmetry_space_group_name_H-M 'C m c m'
_symmetry_Int_Tables_number 63
_symmetry_space_group_name_Hall '-C 2c 2'
_cell_length_a 3.6510
_cell_length_b 10.5423
_cell_length_c 6.6605
_cell_angle_alpha 90.00
_cell_angle_beta 90.00
_cell_angle_gamma 90.00
loop_
_atom_site_label
_atom_site_fract_x
_atom_site_fract_y
_atom_site_fract_z
U1 0.0000 0.0498 0.2500
Mn1 0.0000 0.3296 0.0584
P1 0.0000 0.2284 0.7500
C1 0.0000 0.5000 0.0000
```

Properties
Energy of formation (meV per atom): -548
Magnetic moment (Bohr magnetons per cell): 1.29
Total DFT energy (no corrections) (eV for the cell shown): -187.996
Crystal system: orthorhombic

***

# Ac2Ho2Te5

Crystalline Ac2Ho2Te5 at its relaxed geometry (PBE, the Alexandria database).

Geometry as CIF:
```
data_Ac2Ho2Te5
_symmetry_space_group_name_H-M 'C 1 2/m 1'
_symmetry_Int_Tables_number 12
_cell_length_a 16.8015
_cell_length_b 6.0229
_cell_length_c 6.4812
_cell_angle_alpha 90.00
_cell_angle_beta 109.00
_cell_angle_gamma 90.00
loop_
_symmetry_equiv_pos_as_xyz
'x,y,z'
'-x,-y,-z'
'-x,y,-z'
'x,-y,z'
'x+1/2,y+1/2,z'
'-x+1/2,-y+1/2,-z'
'-x+1/2,y+1/2,-z'
'x+1/2,-y+1/2,z'
loop_
_atom_site_label
_atom_site_fract_x
_atom_site_fract_y
_atom_site_fract_z
Ac1 0.0977 0.0000 0.3248
Ho1 0.1699 0.5000 0.9428
Te1 0.0000 0.5000 0.0000
Te2 0.1346 0.0000 0.8585
Te3 0.1878 0.5000 0.4815
```

Properties
Energy relative to the elements, uncorrected (kJ per mole of atoms): -124.9
Magnetic moment (Bohr magnetons per cell): 0.00
Total DFT energy (no corrections) (eV for the cell shown): -89.463
Crystal system: monoclinic

***

# TcNiP2

Crystalline TcNiP2 at its relaxed geometry (PBE, the Alexandria database).

Geometry as CIF:
```
data_TcNiP2
_symmetry_space_group_name_H-M 'C m m m'
_symmetry_Int_Tables_number 65
_symmetry_space_group_name_Hall '-C 2 2'
_cell_length_a 3.0232
_cell_length_b 4.8103
_cell_length_c 7.3501
_cell_angle_alpha 90.00
_cell_angle_beta 90.00
_cell_angle_gamma 90.00
loop_
_atom_site_label
_atom_site_fract_x
_atom_site_fract_y
_atom_site_fract_z
Tc1 0.0000 0.0000 0.0000
Ni1 0.0000 0.0000 0.5000
P1 0.0000 0.5000 0.2571
```

Properties
Offset from the most stable computed form (meV/atom): 503
Energy of formation (meV per atom): 159
Magnetic moment (Bohr magnetons per cell): 0.00
Total DFT energy (no corrections) (eV for the cell shown): -52.663
Crystal system: orthorhombic

***

# TbHoBi

Crystalline TbHoBi at its relaxed geometry (PBE, the Alexandria database).

Geometry as CIF:
```
data_TbHoBi
_symmetry_space_group_name_H-M 'C 1 2/m 1'
_symmetry_Int_Tables_number 12
_cell_length_a 12.0383
_cell_length_b 3.4345
_cell_length_c 9.2061
_cell_angle_alpha 90.00
_cell_angle_beta 97.73
_cell_angle_gamma 90.00
loop_
_symmetry_equiv_pos_as_xyz
'x,y,z'
'-x,-y,-z'
'-x,y,-z'
'x,-y,z'
'x+1/2,y+1/2,z'
'-x+1/2,-y+1/2,-z'
'-x+1/2,y+1/2,-z'
'x+1/2,-y+1/2,z'
loop_
_atom_site_label
_atom_site_fract_x
_atom_site_fract_y
_atom_site_fract_z
Tb1 0.1205 0.0000 0.1892
Ho1 0.1471 0.0000 0.5811
Bi1 0.1177 0.5000 0.8753
```

Properties
Energy of formation (meV per atom): -298
Magnetic moment (Bohr magnetons per cell): 0.00
Total DFT energy (no corrections) (eV for the cell shown): -55.932
Crystal system: monoclinic

***

- magnetic moment of number 1 (TcRhW2)?
  0.00 Bohr magnetons per cell

***

- What is the formula in the first record?
  TcRhW2

***

- Among the records above, which one has the highest total DFT energy (no corrections)?
  TcRhW2